[1]
TiAlNi3 (PBE, optimized geometry); crystal system = cubic; spin magnetization = 0.0 μB per formula unit; polymorph energy (0 for the lowest one) = 0.911 eV per atom; space-group type = Pm-3m
1.0
4.2203 0.0000 0.0000
0.0000 4.2203 0.0000
0.0000 0.0000 4.2203
Ti Al Ni
1 1 3
Direct
0.0000 0.0000 0.0000 Ti
0.5000 0.5000 0.5000 Al
0.0000 0.5000 0.5000 Ni
0.5000 0.0000 0.5000 Ni
0.5000 0.5000 0.0000 Ni

---

[2]
TiAl3Ni12 (PBE, optimized geometry); crystal system = tetragonal; spin magnetization = 1.9 μB per formula unit; space-group type = P4/mmm
1.0
3.5815 0.0000 0.0000
0.0000 3.5815 0.0000
0.0000 0.0000 14.2473
Ti Al Ni
1 3 12
Direct
0.0000 0.0000 0.0000 Ti
0.0000 0.0000 0.2519 Al
0.0000 0.0000 0.5000 Al
0.0000 0.0000 0.7481 Al
0.0000 0.5000 0.1268 Ni
0.0000 0.5000 0.3754 Ni
0.0000 0.5000 0.6246 Ni
0.0000 0.5000 0.8732 Ni
0.5000 0.0000 0.1268 Ni
0.5000 0.0000 0.3754 Ni
0.5000 0.0000 0.6246 Ni
0.5000 0.0000 0.8732 Ni
0.5000 0.5000 0.0000 Ni
0.5000 0.5000 0.2511 Ni
0.5000 0.5000 0.5000 Ni
0.5000 0.5000 0.7489 Ni

---

[3]
Ti2Al4Ni (PBE, optimized geometry); crystal system = tetragonal; spin magnetization = 0.0 μB per formula unit; space-group type = I4/mmm
1.0
4.2986 0.0000 0.0000
0.0000 4.2986 0.0000
0.0000 0.0000 13.6195
Ti Al Ni
4 8 2
Direct
0.0000 0.0000 0.1378 Ti
0.0000 0.0000 0.8622 Ti
0.5000 0.5000 0.3622 Ti
0.5000 0.5000 0.6378 Ti
0.0000 0.0000 0.3289 Al
0.0000 0.0000 0.6711 Al
0.0000 0.5000 0.0000 Al
0.0000 0.5000 0.5000 Al
0.5000 0.0000 0.0000 Al
0.5000 0.0000 0.5000 Al
0.5000 0.5000 0.1711 Al
0.5000 0.5000 0.8289 Al
0.0000 0.0000 0.5000 Ni
0.5000 0.5000 0.0000 Ni

---

[4]
Ti5Al2Ni12 (PBE, optimized geometry); crystal system = monoclinic; spin magnetization = 0.0 μB per formula unit; space-group type = C2/m
1.0
7.2596 -2.4934 0.0000
7.2596 2.4934 0.0000
-2.9519 0.0000 7.2669
Ti Al Ni
5 2 12
Direct
0.0000 0.0000 0.0000 Ti
0.3184 0.3184 0.1554 Ti
0.3649 0.3649 0.6567 Ti
0.6351 0.6351 0.3433 Ti
0.6816 0.6816 0.8446 Ti
0.2500 0.7500 0.5000 Al
0.7500 0.2500 0.5000 Al
0.0339 0.5685 0.3962 Ni
0.0860 0.5940 0.8999 Ni
0.1083 0.1083 0.7853 Ni
0.4060 0.9140 0.1001 Ni
0.4315 0.9661 0.6038 Ni
0.4776 0.4776 0.1368 Ni
0.5224 0.5224 0.8632 Ni
0.5685 0.0339 0.3962 Ni
0.5940 0.0860 0.8999 Ni
0.8917 0.8917 0.2147 Ni
0.9140 0.4060 0.1001 Ni
0.9661 0.4315 0.6038 Ni

---

[5]
TiAlNi (PBE, optimized geometry); crystal system = monoclinic; spin magnetization = 0.4 μB per formula unit; space-group type = C2/m
1.0
5.3830 0.0000 0.0000
0.0000 5.3974 0.0000
-0.6206 0.0000 6.1146
Ti Al Ni
4 4 4
Direct
0.2070 0.0000 0.1863 Ti
0.2930 0.5000 0.8137 Ti
0.7070 0.5000 0.1863 Ti
0.7930 0.0000 0.8137 Ti
0.2192 0.5000 0.2510 Al
0.2808 0.0000 0.7490 Al
0.7192 0.0000 0.2510 Al
0.7808 0.5000 0.7490 Al
0.0000 0.2514 0.5000 Ni
0.0000 0.7486 0.5000 Ni
0.5000 0.2486 0.5000 Ni
0.5000 0.7514 0.5000 Ni

---

[6]
Ti6AlNi (PBE, optimized geometry); crystal system = monoclinic; spin magnetization = 1.5 μB per formula unit; space-group type = C2/m
1.0
5.2420 0.0000 0.0000
0.0000 9.2520 0.0000
-0.1787 0.0000 5.2742
Ti Al Ni
12 2 2
Direct
0.0279 0.0000 0.2489 Ti
0.1904 0.2727 0.2459 Ti
0.1904 0.7273 0.2459 Ti
0.3096 0.2273 0.7541 Ti
0.3096 0.7727 0.7541 Ti
0.4721 0.5000 0.7511 Ti
0.5279 0.5000 0.2489 Ti
0.6904 0.2273 0.2459 Ti
0.6904 0.7727 0.2459 Ti
0.8096 0.2727 0.7541 Ti
0.8096 0.7273 0.7541 Ti
0.9721 0.0000 0.7511 Ti
0.0000 0.5000 0.5000 Al
0.5000 0.0000 0.5000 Al
0.0000 0.5000 0.0000 Ni
0.5000 0.0000 0.0000 Ni

---

no.,DFT formation energy (kJ per mole of atoms),DOS at the Fermi energy (states/eV/cell)
1,46.59,9.91
2,-43.47,16.27
3,14.66,9.61
4,-12.72,10.35
5,-33.48,14.31
6,-1.09,22.06